# 1
Density functional theory data (PBE) for an optimized crystal structure of Rb3BrCl6.

Summary:
The value obtained for the polymorph energy (0 for the lowest one) is 0 meV/atom. For the size of the total moment, the calculation gives 0.3 μB per cell. As for the formation energy from raw total energies: -1.153 eV/atom. As for the symmetry: P2_1/c, No. 14. The calculated volume comes out at 736.49 Å³ per cell. The calculation puts the density of states at the Fermi level at 0.0 states/eV/f.u.

abc: 5.2517 8.0720 17.3794
angles: 90.00 91.49 90.00
Closest atoms and distances in Å follow each position.
Fractional coordinates of all 20 atoms:
Rb 0.4766 0.1540 0.7774  4 Cl 3.19-3.57
Rb 0.5000 0.5000 0.0000  6 Cl 3.24-3.59
Rb 0.5234 0.8460 0.2226  4 Cl 3.19-3.57
Rb 0.9766 0.3460 0.2774  4 Cl 3.19-3.57
Rb 0.0000 0.0000 0.5000  6 Cl 3.24-3.59
Rb 0.0234 0.6540 0.7226  4 Cl 3.19-3.57
Br 0.5000 0.5000 0.5000  4 Cl 2.42-2.46
Br 0.0000 0.0000 0.0000  4 Cl 2.42-2.46
Cl 0.2590 0.8465 0.9083  1 Br 2.46
Cl 0.4976 0.7438 0.5808  1 Br 2.42
Cl 0.4662 0.4546 0.1846  4 Rb 3.19-3.24, 1 Cl 3.27
Cl 0.5338 0.5454 0.8154  4 Rb 3.19-3.24, 1 Cl 3.27
Cl 0.5024 0.2562 0.4192  1 Br 2.42
Cl 0.7410 0.1535 0.0917  1 Br 2.46
Cl 0.7590 0.6535 0.4083  1 Br 2.46
Cl 0.9976 0.7562 0.0808  1 Br 2.42
Cl 0.9662 0.0454 0.6846  4 Rb 3.19-3.24, 1 Cl 3.27
Cl 0.0338 0.9546 0.3154  4 Rb 3.19-3.24, 1 Cl 3.27
Cl 0.0024 0.2438 0.9192  1 Br 2.42
Cl 0.2410 0.3465 0.5917  1 Br 2.46

# 2
Density functional theory data (PBE) for an optimized crystal structure of RbBrCl3.

Summary:
The value obtained for the polymorph energy (0 for the lowest one) is 62 meV/atom. For the size of the total moment, the calculation gives 0.0 μB per cell. As for the formation energy from raw total energies: -0.773 eV/atom. As for the symmetry: I4/mmm, No. 139. The calculated volume comes out at 352.01 Å³ per cell. The calculation puts the density of states at the Fermi level at 0.0 states/eV/f.u.

abc: 7.8697 7.8697 7.9543
angles: 60.35 60.35 90.00
Closest atoms and distances in Å follow each position.
Fractional coordinates of all 10 atoms:
Br 0.5000 0.5000 0.0000  4 Cl 2.43
Br 0.0000 0.0000 0.0000  2 Cl 2.40
Rb 0.7500 0.2500 0.5000  12 Cl 3.96-3.99
Rb 0.2500 0.7500 0.5000  12 Cl 3.96-3.99
Cl 0.2114 0.2114 0.5771  1 Br 2.40
Cl 0.7886 0.7886 0.4229  1 Br 2.40
Cl 0.2817 0.2817 0.0000  1 Br 2.43
Cl 0.7183 0.7183 0.0000  1 Br 2.43
Cl 0.7183 0.2817 0.0000  1 Br 2.43
Cl 0.2817 0.7183 0.0000  1 Br 2.43

# 3
Density functional theory data (PBE) for an optimized crystal structure of Rb2BrCl.

Summary:
The value obtained for the polymorph energy (0 for the lowest one) is 1 meV/atom. For the size of the total moment, the calculation gives 0.0 μB per cell. As for the formation energy from raw total energies: -1.843 eV/atom. As for the symmetry: I4_1/amd, No. 141. The calculated volume comes out at 322.34 Å³ per cell. The calculation puts the density of states at the Fermi level at 0.0 states/eV/f.u.

abc: 6.8625 6.8625 8.3902
angles: 114.14 114.14 90.00
Closest atoms and distances in Å follow each position.
Fractional coordinates of all 8 atoms:
Rb 0.7591 0.7591 0.5182  3 Cl 3.30-3.43, 3 Br 3.43-3.55
Rb 0.5091 0.0091 0.0182  3 Cl 3.30-3.43, 3 Br 3.43-3.55
Rb 0.2409 0.2409 0.4818  3 Cl 3.30-3.43, 3 Br 3.43-3.55
Rb 0.9909 0.4909 0.9818  3 Cl 3.30-3.43, 3 Br 3.43-3.55
Br 0.5000 0.5000 0.0000  6 Rb 3.43-3.55
Br 0.2500 0.7500 0.5000  6 Rb 3.43-3.55
Cl 0.7500 0.2500 0.5000  6 Rb 3.30-3.43
Cl 0.0000 0.0000 0.0000  6 Rb 3.30-3.43